No. 1
Here is Pu2BiO8 after structural relaxation from Alexandria. Energies are from PBE.

```
Pu2BiO8
1.0
6.983 0.000 0.000
-3.492 6.048 0.000
0.000 0.000 4.210
Pu Bi O
2 1 8
Cartesian
0.000 4.032 1.030
3.492 2.016 3.180
0.000 0.000 2.105
0.000 2.078 1.023
-1.692 5.009 1.023
0.000 4.032 3.088
1.799 1.039 3.188
1.692 5.009 1.023
3.492 2.016 1.122
5.184 1.039 3.188
3.492 3.970 3.188
```

Calculated values
V (Å³/f.u.): 178
Raw total energy (eV for the cell shown): -91.551
SG: No. 164
Energy relative to the elements, uncorrected (eV/atom): -1.76
Theoretical density (g cm⁻³): 7.70
Spin magnetization (Bohr magnetons per cell): 3.0

No. 2
Here is CuNiBr after structural relaxation from Alexandria. Energies are from PBE.

```
CuNiBr
1.0
-1.676 1.676 4.153
1.676 -1.676 4.153
1.676 1.676 -4.153
Cu Ni Br
1 1 1
Cartesian
0.000 0.000 0.000
0.000 0.000 3.267
0.000 0.000 5.706
```

Calculated values
V (Å³/f.u.): 47
Raw total energy (eV for the cell shown): -10.158
SG: No. 107
Energy relative to the elements, uncorrected (eV/atom): 0.46
Polymorph energy (0 for the lowest one) (eV/atom): 0.145
Theoretical density (g cm⁻³): 7.19
Spin magnetization (Bohr magnetons per cell): 0.0

No. 3
Here is K2YPb after structural relaxation from Alexandria. Energies are from PBE.

```
K2YPb
1.0
3.502 0.000 0.000
0.000 3.502 0.000
0.000 0.000 12.941
K Y Pb
2 1 1
Cartesian
0.000 0.000 2.870
0.000 0.000 10.071
1.751 1.751 6.470
1.751 1.751 0.000
```

Calculated values
V (Å³/f.u.): 159
Raw total energy (eV for the cell shown): -11.237
ΔE_f (eV per atom): 0.28
SG: No. 123
Theoretical density (g cm⁻³): 3.92
Spin magnetization (Bohr magnetons per cell): 0.0

No. 4
Here is LaY2Re after structural relaxation from Alexandria. Energies are from PBE.

```
LaY2Re
1.0
3.434 0.000 0.000
0.000 4.826 0.000
-1.697 0.000 6.254
La Y Re
1 2 1
Cartesian
0.000 0.000 0.000
-0.093 2.413 4.483
1.831 2.413 1.771
0.869 0.000 3.127
```

Calculated values
V (Å³/f.u.): 104
Raw total energy (eV for the cell shown): -28.936
ΔE_f (eV per atom): 0.34
SG: No. 10
Polymorph energy (0 for the lowest one) (eV/atom): 0.172
Theoretical density (g cm⁻³): 8.06
Spin magnetization (Bohr magnetons per cell): 0.0

No. 5
Here is Ni2AgSb after structural relaxation from Alexandria. Energies are from PBE.

```
Ni2AgSb
1.0
3.194 0.000 0.000
0.000 3.608 0.000
0.000 0.000 5.514
Ni Ag Sb
2 1 1
Cartesian
0.000 0.000 0.000
1.597 1.804 1.362
0.000 0.000 2.581
1.597 1.804 4.378
```

Calculated values
V (Å³/f.u.): 64
Raw total energy (eV for the cell shown): -17.898
SG: No. 25
Energy relative to the elements, uncorrected (eV/atom): 0.16
Theoretical density (g cm⁻³): 9.07
Spin magnetization (Bohr magnetons per cell): 0.0

No. 6
Here is Y2VRu after structural relaxation from Alexandria. Energies are from PBE.

```
Y2VRu
1.0
4.716 0.000 0.000
0.000 3.656 0.000
-2.361 0.000 5.419
Y V Ru
2 1 1
Cartesian
0.000 0.000 0.000
-0.006 1.828 3.107
2.358 1.828 0.977
2.348 0.000 2.391
```

Calculated values
V (Å³/f.u.): 93
Raw total energy (eV for the cell shown): -31.440
ΔE_f (eV per atom): -0.03
SG: No. 6
Polymorph energy (0 for the lowest one) (eV/atom): 0.081
Theoretical density (g cm⁻³): 5.86
Spin magnetization (Bohr magnetons per cell): 1.0

No. 7
Here is NdDyYTh after structural relaxation from Alexandria. Energies are from PBE.

```
NdDyYTh
1.0
1.805 1.042 11.603
-1.805 1.042 11.603
0.000 -2.084 11.603
Nd Dy Y Th
1 1 1 1
Cartesian
0.000 0.000 0.000
0.000 0.000 8.639
0.000 0.000 14.627
0.000 0.000 29.058
```

Calculated values
V (Å³/f.u.): 131
Raw total energy (eV for the cell shown): -23.201
ΔE_f (eV per atom): 0.01
SG: No. 160
Polymorph energy (0 for the lowest one) (eV/atom): 0.000
Theoretical density (g cm⁻³): 7.96
Spin magnetization (Bohr magnetons per cell): 0.0

No. 8
Here is KZn2Cl5 after structural relaxation from Alexandria. Energies are from PBE.

```
KZn2Cl5
1.0
6.677 0.000 0.000
0.000 10.597 0.000
-0.613 0.000 7.387
K Zn Cl
2 4 10
Cartesian
0.041 2.649 0.588
6.023 7.948 6.800
2.584 0.709 5.071
2.584 4.590 5.071
3.479 6.007 2.316
3.479 9.888 2.316
0.963 0.214 6.491
0.963 5.084 6.491
1.828 0.845 2.842
1.828 4.453 2.842
2.299 7.948 1.809
3.765 2.649 5.578
4.236 6.144 4.546
4.236 9.751 4.546
5.100 5.512 0.897
5.100 10.383 0.897
```

Calculated values
V (Å³/f.u.): 261
Raw total energy (eV for the cell shown): -47.484
SG: No. 11
Energy relative to the elements, uncorrected (eV/atom): -1.36
Theoretical density (g cm⁻³): 2.21
Spin magnetization (Bohr magnetons per cell): 0.0

spin magnetization of number 6 (Y2VRu)?
1.0 Bohr magnetons per cell